{
  "formula": "Sm3Ag2Pd",
  "functional": "PBE",
  "state": "optimized geometry",
  "formation_energy_ev_per_atom": -0.4418,
  "energy_ry_per_atom": -0.3394,
  "magnetic_moment_mub_per_cell": 0.00,
  "dos_at_fermi_per_ev_cell": 4.5,
  "lattice": [[5.185, 0.000, 0.000], [-2.592, 4.490, 0.000], [0.000, 0.000, 6.348]],
  "species": ["Sm", "Sm", "Sm", "Ag", "Ag", "Pd"],
  "fractional_positions": [[0.000, 0.000, 0.500], [0.667, 0.333, 0.848], [0.333, 0.667, 0.152], [0.667, 0.333, 0.352], [0.333, 0.667, 0.648], [0.000, 0.000, 0.000]]
}